Record 1
DFT (SCAN) results for AlSi2Pt at its PBEsol-relaxed geometry.

DOS at the Fermi energy = 1.27 states/eV/cell
energy relative to the elements, uncorrected = -0.2 eV/f.u.

Unit cell a=3.785 b=3.785 c=4.068 alpha=90.00 beta=90.00 gamma=90.00
Fractional positions:
Al (0.000, 0.000, 0.000)
Si (0.000, 0.500, 0.500)
Si (0.500, 0.000, 0.500)
Pt (0.500, 0.500, 0.000)

Record 2
DFT (SCAN) results for In2BMoRu at its PBEsol-relaxed geometry.

DOS at the Fermi energy = 2.18 states/eV/cell
calculated formation energy = 0.78 eV per atom

Unit cell a=4.580 b=4.580 c=3.904 alpha=90.00 beta=90.00 gamma=90.00
Fractional positions:
In (0.000, 0.500, 0.000)
In (0.500, 0.000, 0.000)
B (0.000, 0.000, 0.000)
Mo (0.500, 0.500, 0.500)
Ru (0.000, 0.000, 0.500)

Record 3
DFT (SCAN) results for Li2SbW at its PBEsol-relaxed geometry.

DOS at the Fermi energy = 2.48 states/eV/cell
energy relative to the elements, uncorrected = 1.6 eV/f.u.

Unit cell a=9.715 b=9.715 c=9.715 alpha=17.21 beta=17.21 gamma=17.21
Fractional positions:
Li (0.249, 0.249, 0.249)
Li (0.751, 0.751, 0.751)
Sb (0.000, 0.000, 0.000)
W (0.500, 0.500, 0.500)

Record 4
DFT (SCAN) results for ScAg2Pb at its PBEsol-relaxed geometry.

DOS at the Fermi energy = 1.60 states/eV/cell
calculated formation energy = -0.23 eV per atom

Unit cell a=5.218 b=5.218 c=5.218 alpha=130.75 beta=130.75 gamma=72.21
Fractional positions:
Sc (0.000, 0.000, 0.000)
Ag (0.250, 0.750, 0.500)
Ag (0.750, 0.250, 0.500)
Pb (0.500, 0.500, 0.000)

Record 5
DFT (SCAN) results for CaTi2BeCd at its PBEsol-relaxed geometry.

DOS at the Fermi energy = 4.64 states/eV/cell
calculated formation energy = 1.95 eV per atom

Unit cell a=4.497 b=4.497 c=5.205 alpha=90.00 beta=90.00 gamma=90.00
Fractional positions:
Ca (0.000, 0.000, 0.000)
Ti (0.000, 0.500, 0.000)
Ti (0.500, 0.000, 0.000)
Be (0.500, 0.500, 0.500)
Cd (0.000, 0.000, 0.500)

Record 6
DFT (SCAN) results for La2ScCu2 at its PBEsol-relaxed geometry.

DOS at the Fermi energy = 8.93 states/eV/cell
calculated formation energy = -0.12 eV per atom

Unit cell a=7.807 b=7.807 c=3.823 alpha=90.00 beta=90.00 gamma=90.00
Fractional positions:
La (0.180, 0.320, 0.000)
La (0.320, 0.820, 0.000)
La (0.680, 0.180, 0.000)
La (0.820, 0.680, 0.000)
Sc (0.000, 0.000, 0.500)
Sc (0.500, 0.500, 0.500)
Cu (0.117, 0.617, 0.500)
Cu (0.383, 0.117, 0.500)
Cu (0.617, 0.883, 0.500)
Cu (0.883, 0.383, 0.500)

Which value of DOS at the Fermi energy does entry 3 give? 2.48 states/eV/cell